Entry 1:
Material: NpH3Cl6
Method: DFT, PBE
State: relaxed

```
20
Lattice="-1.764 -6.428 5.383 6.753 1.914 4.914 -4.739 5.119 4.975" Properties=species:S:1:pos:R:3 pbc="T T T"
H -0.559 -2.080 4.049
H 0.808 2.684 11.222
H -1.562 1.815 3.911
H 1.812 -1.211 11.360
H 2.315 0.734 3.890
H -2.065 -0.130 11.380
Np 0.125 0.302 7.635
Np 0.000 0.000 0.000
Cl 2.080 0.855 9.024
Cl -1.204 -4.445 6.725
Cl -3.314 3.746 6.435
Cl 1.498 -1.179 6.229
Cl 0.636 2.165 6.111
Cl -1.248 1.783 9.042
Cl 1.453 5.049 8.546
Cl 3.564 -3.142 8.835
Cl -1.830 -0.251 6.246
Cl 4.838 1.472 6.392
Cl -0.386 -1.561 9.160
Cl -4.588 -0.868 8.878
```

As for the calculated total energy: -3.661 eV per atom. As for the space-group type: R-3m. For the total moment, the calculation gives 8.000 Bohr magnetons per cell.

---

Entry 2:
Material: NpHCl
Method: DFT, PBE
State: relaxed

```
3
Lattice="4.071 0.000 0.000 0.000 3.780 0.000 0.000 -1.890 3.273" Properties=species:S:1:pos:R:3 pbc="T T T"
H 0.679 0.000 2.182
Cl 2.714 1.890 1.091
Np 0.678 0.000 0.000
```

As for the calculated total energy: -6.665 eV per atom. As for the space-group type: P-6m2. For the total moment, the calculation gives 4.914 Bohr magnetons per cell.

---

Entry 3:
Material: NpHCl
Method: DFT, PBE
State: relaxed

```
6
Lattice="0.358 -4.062 -3.099 4.645 1.480 1.571 1.645 -4.489 1.838" Properties=species:S:1:pos:R:3 pbc="T T T"
Np 0.179 -2.031 -1.550
Np 2.323 0.740 0.785
Cl 1.710 -3.612 0.569
Cl 4.938 -3.459 -0.260
H 3.145 -1.505 1.704
H 2.501 -1.291 -0.764
```

As for the calculated total energy: -6.545 eV per atom. As for the space-group type: Imma. For the total moment, the calculation gives 9.778 Bohr magnetons per cell.